<A>
A plane-wave DFT calculation with GGA-PBE was carried out for a relaxed structure of Nb2TlSn.

Cell: 4.855 4.855 4.855 Å, 60.00 60.00 60.00°
Sites, in units of the cell vectors:
Nb 0.250 0.250 0.250
Nb 0.750 0.750 0.750
Tl 0.000 0.000 0.000
Sn 0.500 0.500 0.500

- symmetry = Fm-3m (225)
- calculated volume (Å³ per cell) = 80.9

***

<B>
A plane-wave DFT calculation with GGA-PBE was carried out for a relaxed structure of Nb2TlSn.

Cell: 6.211 6.211 6.211 Å, 103.53 103.53 122.16°
Sites, in units of the cell vectors:
Nb 0.118 0.625 0.993
Nb 0.375 0.368 0.493
Nb 0.632 0.125 0.007
Nb 0.875 0.882 0.507
Tl 0.250 0.750 0.500
Tl 0.500 0.500 0.000
Sn 0.000 0.000 0.000
Sn 0.750 0.250 0.500

- symmetry = I-42d (122)
- calculated volume (Å³ per cell) = 177.6

***

Which structure wins on stability? <A> wins.

***

<A>
A plane-wave DFT calculation with GGA-PBE was carried out for a relaxed structure of NbTl2ZnSn.

Cell: 5.810 5.810 5.518 Å, 90.00 90.00 90.00°
Sites, in units of the cell vectors:
Nb 0.000 0.000 0.000
Tl 0.000 0.500 0.500
Tl 0.500 0.000 0.500
Zn 0.500 0.500 0.000
Sn 0.000 0.000 0.500

- symmetry = P4/mmm (123)
- calculated volume (Å³ per cell) = 186.3

***

<B>
A plane-wave DFT calculation with GGA-PBE was carried out for a relaxed structure of NbTl2ZnSn.

Cell: 5.107 5.107 5.171 Å, 90.00 90.00 90.00°
Sites, in units of the cell vectors:
Nb 0.000 0.000 0.000
Tl 0.000 0.500 0.500
Tl 0.500 0.000 0.500
Zn 0.000 0.000 0.500
Sn 0.500 0.500 0.000

- symmetry = P4/mmm (123)
- calculated volume (Å³ per cell) = 134.9

***

Which structure wins on stability? <B> wins.

***

<A>
A plane-wave DFT calculation with GGA-PBE was carried out for a relaxed structure of UNb2Sn.

Cell: 4.667 4.667 3.675 Å, 90.00 90.00 90.00°
Sites, in units of the cell vectors:
U 0.000 0.000 0.000
Nb 0.000 0.500 0.500
Nb 0.500 0.000 0.500
Sn 0.500 0.500 0.000

- symmetry = P4/mmm (123)
- calculated volume (Å³ per cell) = 80.1

***

<B>
A plane-wave DFT calculation with GGA-PBE was carried out for a relaxed structure of UNb2Sn.

Cell: 8.732 8.732 8.732 Å, 22.16 22.16 22.16°
Sites, in units of the cell vectors:
U 0.000 0.000 0.000
Nb 0.255 0.255 0.255
Nb 0.745 0.745 0.745
Sn 0.500 0.500 0.500

- symmetry = R-3m (166)
- calculated volume (Å³ per cell) = 83.1

***

Which structure wins on stability? <A> wins.

***

<A>
A plane-wave DFT calculation with GGA-PBE was carried out for a relaxed structure of Nb3VSn.

Cell: 5.436 5.463 7.213 Å, 70.11 77.85 63.85°
Sites, in units of the cell vectors:
Nb 0.057 0.232 0.382
Nb 0.349 0.751 0.803
Nb 0.426 0.256 0.600
Nb 0.574 0.744 0.400
Nb 0.651 0.249 0.197
Nb 0.943 0.768 0.618
V 0.274 0.251 0.995
V 0.726 0.749 0.005
Sn 0.152 0.747 0.209
Sn 0.848 0.253 0.791

- symmetry = P-1 (2)
- calculated volume (Å³ per cell) = 180.4

***

<B>
A plane-wave DFT calculation with GGA-PBE was carried out for a relaxed structure of Nb3VSn.

Cell: 4.680 4.680 4.680 Å, 90.00 90.00 90.00°
Sites, in units of the cell vectors:
Nb 0.000 0.000 0.500
Nb 0.000 0.500 0.000
Nb 0.500 0.000 0.000
V 0.000 0.000 0.000
Sn 0.500 0.500 0.500

- symmetry = Pm-3m (221)
- calculated volume (Å³ per cell) = 102.5

***

Which structure wins on stability? <A> wins.

***

<A>
A plane-wave DFT calculation with GGA-PBE was carried out for a relaxed structure of Nb6VSn.

Cell: 5.764 5.764 4.559 Å, 90.00 90.00 107.24°
Sites, in units of the cell vectors:
Nb 0.000 0.500 0.500
Nb 0.240 0.760 0.000
Nb 0.283 0.283 0.000
Nb 0.500 0.000 0.500
Nb 0.717 0.717 0.000
Nb 0.760 0.240 0.000
V 0.500 0.500 0.500
Sn 0.000 0.000 0.500

- symmetry = Cmmm (65)
- calculated volume (Å³ per cell) = 144.7

***

<B>
A plane-wave DFT calculation with GGA-PBE was carried out for a relaxed structure of Nb6VSn.

Cell: 5.259 5.259 5.259 Å, 89.96 89.96 89.96°
Sites, in units of the cell vectors:
Nb 0.000 0.259 0.500
Nb 0.000 0.741 0.500
Nb 0.259 0.500 0.000
Nb 0.500 0.000 0.259
Nb 0.500 0.000 0.741
Nb 0.741 0.500 0.000
V 0.500 0.500 0.500
Sn 0.000 0.000 0.000

- symmetry = R-3 (148)
- calculated volume (Å³ per cell) = 145.4

***

Which structure wins on stability? <B> wins.

***

<A>
A plane-wave DFT calculation with GGA-PBE was carried out for a relaxed structure of YNb2Sn2.

Cell: 7.787 7.787 3.647 Å, 90.00 90.00 90.00°
Sites, in units of the cell vectors:
Y 0.000 0.000 0.000
Y 0.500 0.500 0.000
Nb 0.160 0.340 0.500
Nb 0.340 0.840 0.500
Nb 0.660 0.160 0.500
Nb 0.840 0.660 0.500
Sn 0.135 0.635 0.000
Sn 0.365 0.135 0.000
Sn 0.635 0.865 0.000
Sn 0.865 0.365 0.000

- symmetry = P4/mbm (127)
- calculated volume (Å³ per cell) = 221.2

***

<B>
A plane-wave DFT calculation with GGA-PBE was carried out for a relaxed structure of YNb2Sn2.

Cell: 7.278 7.278 7.278 Å, 146.74 146.74 47.75°
Sites, in units of the cell vectors:
Y 0.000 0.000 0.000
Nb 0.250 0.750 0.500
Nb 0.750 0.250 0.500
Sn 0.395 0.395 0.000
Sn 0.605 0.605 0.000

- symmetry = I4/mmm (139)
- calculated volume (Å³ per cell) = 115.5

***

Which structure wins on stability? <B> wins.

***

<A>
A plane-wave DFT calculation with GGA-PBE was carried out for a relaxed structure of YNb2Sn2.

Cell: 8.530 8.530 3.077 Å, 90.00 90.00 90.00°
Sites, in units of the cell vectors:
Y 0.000 0.000 0.000
Y 0.500 0.500 0.000
Nb 0.112 0.388 0.000
Nb 0.388 0.888 0.000
Nb 0.612 0.112 0.000
Nb 0.888 0.612 0.000
Sn 0.181 0.681 0.500
Sn 0.319 0.181 0.500
Sn 0.681 0.819 0.500
Sn 0.819 0.319 0.500

- symmetry = P4/mbm (127)
- calculated volume (Å³ per cell) = 223.9

***

<B>
A plane-wave DFT calculation with GGA-PBE was carried out for a relaxed structure of YNb2Sn2.

Cell: 5.740 5.740 5.740 Å, 125.07 125.07 81.42°
Sites, in units of the cell vectors:
Y 0.000 0.000 0.000
Nb 0.359 0.359 0.000
Nb 0.641 0.641 0.000
Sn 0.250 0.750 0.500
Sn 0.750 0.250 0.500

- symmetry = I4/mmm (139)
- calculated volume (Å³ per cell) = 121.9

***

Which structure wins on stability? <A> wins.

***

<A>
A plane-wave DFT calculation with GGA-PBE was carried out for a relaxed structure of YNbSn2.

Cell: 6.470 6.470 6.470 Å, 103.98 103.98 121.12°
Sites, in units of the cell vectors:
Y 0.000 0.000 0.000
Y 0.750 0.250 0.500
Nb 0.250 0.750 0.500
Nb 0.500 0.500 0.000
Sn 0.148 0.625 0.023
Sn 0.375 0.398 0.523
Sn 0.602 0.125 0.977
Sn 0.875 0.852 0.477

- symmetry = I-42d (122)
- calculated volume (Å³ per cell) = 201.9

***

<B>
A plane-wave DFT calculation with GGA-PBE was carried out for a relaxed structure of YNbSn2.

Cell: 5.093 5.093 5.093 Å, 60.00 60.00 60.00°
Sites, in units of the cell vectors:
Y 0.000 0.000 0.000
Nb 0.500 0.500 0.500
Sn 0.250 0.250 0.250
Sn 0.750 0.750 0.750

- symmetry = Fm-3m (225)
- calculated volume (Å³ per cell) = 93.4

***

<C>
A plane-wave DFT calculation with GGA-PBE was carried out for a relaxed structure of YNbSn2.

Cell: 11.149 11.149 11.149 Å, 16.90 16.90 16.90°
Sites, in units of the cell vectors:
Y 0.000 0.000 0.000
Nb 0.500 0.500 0.500
Sn 0.096 0.096 0.096
Sn 0.904 0.904 0.904

- symmetry = R-3m (166)
- calculated volume (Å³ per cell) = 102.2

***

Which structure wins on stability? <B> wins.

***

<A>
A plane-wave DFT calculation with GGA-PBE was carried out for a relaxed structure of YNb3Sn.

Cell: 4.961 4.961 4.961 Å, 90.00 90.00 90.00°
Sites, in units of the cell vectors:
Y 0.000 0.000 0.000
Nb 0.000 0.000 0.500
Nb 0.000 0.500 0.000
Nb 0.500 0.000 0.000
Sn 0.500 0.500 0.500

- symmetry = Pm-3m (221)
- calculated volume (Å³ per cell) = 122.1

***

<B>
A plane-wave DFT calculation with GGA-PBE was carried out for a relaxed structure of YNb3Sn.

Cell: 5.115 5.115 5.115 Å, 90.00 90.00 90.00°
Sites, in units of the cell vectors:
Y 0.000 0.000 0.000
Nb 0.000 0.500 0.500
Nb 0.500 0.000 0.500
Nb 0.500 0.500 0.000
Sn 0.500 0.500 0.500

- symmetry = Pm-3m (221)
- calculated volume (Å³ per cell) = 133.8

***

Which structure wins on stability? <B> wins.

***

<A>
A plane-wave DFT calculation with GGA-PBE was carried out for a relaxed structure of Nb3ZnSn.

Cell: 5.047 5.047 5.047 Å, 90.00 90.00 90.00°
Sites, in units of the cell vectors:
Nb 0.000 0.000 0.500
Nb 0.000 0.500 0.000
Nb 0.500 0.000 0.000
Zn 0.500 0.500 0.500
Sn 0.000 0.000 0.000

- symmetry = Pm-3m (221)
- calculated volume (Å³ per cell) = 128.6

***

<B>
A plane-wave DFT calculation with GGA-PBE was carried out for a relaxed structure of Nb3ZnSn.

Cell: 4.731 4.731 4.731 Å, 90.00 90.00 90.00°
Sites, in units of the cell vectors:
Nb 0.000 0.000 0.500
Nb 0.000 0.500 0.000
Nb 0.500 0.000 0.000
Zn 0.000 0.000 0.000
Sn 0.500 0.500 0.500

- symmetry = Pm-3m (221)
- calculated volume (Å³ per cell) = 105.9

***

Which structure wins on stability? <B> wins.

***

<A>
A plane-wave DFT calculation with GGA-PBE was carried out for a relaxed structure of Nb2ZnSn2.

Cell: 7.561 7.561 3.632 Å, 90.00 90.00 90.00°
Sites, in units of the cell vectors:
Nb 0.134 0.366 0.000
Nb 0.366 0.866 0.000
Nb 0.634 0.134 0.000
Nb 0.866 0.634 0.000
Zn 0.000 0.000 0.500
Zn 0.500 0.500 0.500
Sn 0.158 0.658 0.500
Sn 0.342 0.158 0.500
Sn 0.658 0.842 0.500
Sn 0.842 0.342 0.500

- symmetry = P4/mbm (127)
- calculated volume (Å³ per cell) = 207.6

***

<B>
A plane-wave DFT calculation with GGA-PBE was carried out for a relaxed structure of Nb2ZnSn2.

Cell: 7.111 7.111 4.047 Å, 90.00 90.00 90.00°
Sites, in units of the cell vectors:
Nb 0.148 0.352 0.000
Nb 0.352 0.852 0.000
Nb 0.648 0.148 0.000
Nb 0.852 0.648 0.000
Zn 0.000 0.000 0.000
Zn 0.500 0.500 0.000
Sn 0.155 0.655 0.500
Sn 0.345 0.155 0.500
Sn 0.655 0.845 0.500
Sn 0.845 0.345 0.500

- symmetry = P4/mbm (127)
- calculated volume (Å³ per cell) = 204.6

***

Which structure wins on stability? <B> wins.

***

<A>
A plane-wave DFT calculation with GGA-PBE was carried out for a relaxed structure of ZrNbSn2.

Cell: 4.542 4.542 4.135 Å, 90.00 90.00 90.00°
Sites, in units of the cell vectors:
Zr 0.000 0.000 0.000
Nb 0.500 0.500 0.000
Sn 0.000 0.500 0.500
Sn 0.500 0.000 0.500

- symmetry = P4/mmm (123)
- calculated volume (Å³ per cell) = 85.3

***

<B>
A plane-wave DFT calculation with GGA-PBE was carried out for a relaxed structure of ZrNbSn2.

Cell: 3.248 3.248 8.077 Å, 90.00 90.00 90.00°
Sites, in units of the cell vectors:
Zr 0.000 0.000 0.000
Nb 0.000 0.000 0.500
Sn 0.500 0.500 0.261
Sn 0.500 0.500 0.739

- symmetry = P4/mmm (123)
- calculated volume (Å³ per cell) = 85.2

***

Which structure wins on stability? <B> wins.